No. 1
YRe4B2 GGA-PBE optimized geometry; volume = 15.33 Å³ per atom; space group = Cmmm (65); ΔE_f = -89 meV/atom; size of the total moment = 0.000 μB/f.u.; DOS(E_F) = 5.5 states/eV/cell; crystal system = orthorhombic
1.0
1.9978 -6.7960 0.0000
1.9978 6.7960 0.0000
0.0000 0.0000 3.9530
Y Re B
1 4 2
Direct
0.0000 0.0000 0.0000 Y
0.1769 0.8231 0.5000 Re
0.3111 0.6889 0.0000 Re
0.6889 0.3111 0.0000 Re
0.8231 0.1769 0.5000 Re
0.3893 0.6107 0.5000 B
0.6107 0.3893 0.5000 B

=====

No. 2
PmMg2Ga2 GGA-PBE optimized geometry; volume = 22.14 Å³ per atom; space group = I4/mmm (139); ΔE_f = -423 meV/atom; size of the total moment = 0.000 μB/f.u.; DOS(E_F) = 1.9 states/eV/cell; crystal system = tetragonal
1.0
-2.1705 2.1705 5.8750
2.1705 -2.1705 5.8750
2.1705 2.1705 -5.8750
Pm Mg Ga
1 2 2
Direct
0.0000 0.0000 0.0000 Pm
0.2500 0.7500 0.5000 Mg
0.7500 0.2500 0.5000 Mg
0.3955 0.3955 0.0000 Ga
0.6045 0.6045 0.0000 Ga

=====

No. 3
NaAcSCl GGA-PBE optimized geometry; volume = 24.34 Å³ per atom; space group = F-43m (216); formation energy from raw total energies = -1.440 eV per atom; size of the total moment = 0.738 μB/f.u.; DOS(E_F) = 3.2 states/eV/cell; crystal system = cubic
1.0
0.0000 3.6515 3.6515
3.6515 0.0000 3.6515
3.6515 3.6515 0.0000
Na Ac S Cl
1 1 1 1
Direct
0.0000 0.0000 0.0000 Na
0.5000 0.5000 0.5000 Ac
0.7500 0.7500 0.7500 S
0.2500 0.2500 0.2500 Cl

=====

No. 4
TmInNi GGA-PBE optimized geometry; volume = 20.51 Å³ per atom; space group = P-6m2 (187); ΔE_f = -362 meV/atom; size of the total moment = 0.000 μB/f.u.; DOS(E_F) = 3.3 states/eV/cell; crystal system = hexagonal
1.0
4.5270 0.0000 0.0000
-2.2635 3.9205 0.0000
0.0000 0.0000 3.4667
Tm In Ni
1 1 1
Direct
0.0000 0.0000 0.0000 Tm
0.6667 0.3333 0.5000 In
0.3333 0.6667 0.5000 Ni

=====

No. 5
SrBAs3 GGA-PBE optimized geometry; volume = 35.84 Å³ per atom; space group = Pm-3m (221); ΔE_f = 1883 meV/atom; size of the total moment = 0.000 μB/f.u.; DOS(E_F) = 3.9 states/eV/cell; crystal system = cubic
1.0
5.6379 0.0000 0.0000
0.0000 5.6379 0.0000
0.0000 0.0000 5.6379
Sr B As
1 1 3
Direct
0.0000 0.0000 0.0000 Sr
0.5000 0.5000 0.5000 B
0.0000 0.0000 0.5000 As
0.0000 0.5000 0.0000 As
0.5000 0.0000 0.0000 As

=====

No. 6
Ac3ErTl6 GGA-PBE optimized geometry; volume = 41.17 Å³ per atom; space group = Fm-3m (225); ΔE_f = 275 meV/atom; size of the total moment = 0.000 μB/f.u.; DOS(E_F) = 10.8 states/eV/cell; crystal system = cubic
1.0
0.0000 5.9046 5.9046
5.9046 0.0000 5.9046
5.9046 5.9046 0.0000
Ac Er Tl
3 1 6
Direct
0.0000 0.0000 0.0000 Ac
0.2500 0.2500 0.2500 Ac
0.7500 0.7500 0.7500 Ac
0.5000 0.5000 0.5000 Er
0.2595 0.2595 0.7405 Tl
0.2595 0.7405 0.2595 Tl
0.2595 0.7405 0.7405 Tl
0.7405 0.2595 0.2595 Tl
0.7405 0.2595 0.7405 Tl
0.7405 0.7405 0.2595 Tl

=====

> What is the formula in the first record?

YRe4B2

=====

> Look up the volume of the third one.

24.34 Å³ per atom